No. 1
# La3SiGe2Pd9 (PBE, relaxed)
data_La3SiGe2Pd9
_chemical_formula_sum 'La3 Si1 Ge2 Pd9'
_cell_length_a 6.6496
_cell_length_b 6.6496
_cell_length_c 8.3196
_cell_angle_alpha 90.00
_cell_angle_beta 90.00
_cell_angle_gamma 120.00
_symmetry_space_group_name_H-M 'P -3 m 1'
_symmetry_Int_Tables_number 164
_symmetry_space_group_name_Hall '-P 3 2"'
loop_
_atom_site_label
_atom_site_type_symbol
_atom_site_fract_x
_atom_site_fract_y
_atom_site_fract_z
La1 La 0.0000 0.0000 0.0000
La2 La 0.3333 0.6667 0.6734
Si1 Si 0.0000 0.0000 0.5000
Ge1 Ge 0.3333 0.6667 0.1931
Pd1 Pd 0.0000 0.5000 0.0000
Pd2 Pd 0.1408 0.2816 0.2941
# **Uncorrected energy**: -85.96 eV per cell
# **ΔE_f (raw)**: -0.653 eV/atom

---

No. 2
# BaLiTi2As (PBE, relaxed)
data_BaLiTi2As
_chemical_formula_sum 'Ba1 Li1 Ti2 As1'
_cell_length_a 5.112
_cell_length_b 5.112
_cell_length_c 5.875
_cell_angle_alpha 90.00
_cell_angle_beta 90.00
_cell_angle_gamma 90.00
_symmetry_space_group_name_H-M 'P 4/m m m'
_symmetry_Int_Tables_number 123
_symmetry_space_group_name_Hall '-P 4 2'
loop_
_atom_site_label
_atom_site_type_symbol
_atom_site_fract_x
_atom_site_fract_y
_atom_site_fract_z
Ba1 Ba 0.000 0.000 0.000
Li1 Li 0.500 0.500 0.500
Ti1 Ti 0.000 0.500 0.000
As1 As 0.000 0.000 0.500
# **Uncorrected energy**: -16.27 eV per cell
# **Energy of formation**: 8.011 eV/f.u.

---

No. 3
# PdCl3F (PBE, relaxed)
data_PdCl3F
_chemical_formula_sum 'Pd4 Cl12 F4'
_cell_length_a 11.488
_cell_length_b 8.054
_cell_length_c 6.705
_cell_angle_alpha 90.00
_cell_angle_beta 124.23
_cell_angle_gamma 90.00
_symmetry_space_group_name_H-M 'C 1 2/m 1'
_symmetry_Int_Tables_number 12
loop_
_symmetry_equiv_pos_as_xyz
'x,y,z'
'-x,-y,-z'
'-x,y,-z'
'x,-y,z'
'x+1/2,y+1/2,z'
'-x+1/2,-y+1/2,-z'
'-x+1/2,y+1/2,-z'
'x+1/2,-y+1/2,z'
loop_
_atom_site_label
_atom_site_type_symbol
_atom_site_fract_x
_atom_site_fract_y
_atom_site_fract_z
Pd1 Pd 0.000 0.000 0.000
Pd2 Pd 0.000 0.000 0.500
Cl1 Cl 0.000 0.285 0.000
Cl2 Cl 0.000 0.289 0.500
Cl3 Cl 0.176 0.000 0.424
F1 F 0.134 0.000 0.856
# **Energy relative to the lowest polymorph listed for this composition**: 0 meV/atom
# **Uncorrected energy**: -59.29 eV per cell
# **ΔE_f (raw)**: -0.444 eV/atom

---

No. 4
# CaMn2Re (PBE, relaxed)
data_CaMn2Re
_chemical_formula_sum 'Ca4 Mn8 Re4'
_cell_length_a 6.170
_cell_length_b 6.170
_cell_length_c 6.170
_cell_angle_alpha 90.00
_cell_angle_beta 90.00
_cell_angle_gamma 90.00
_symmetry_space_group_name_H-M 'F m -3 m'
_symmetry_Int_Tables_number 225
_symmetry_space_group_name_Hall '-F 4 2 3'
loop_
_atom_site_label
_atom_site_type_symbol
_atom_site_fract_x
_atom_site_fract_y
_atom_site_fract_z
Ca1 Ca 0.000 0.000 0.000
Mn1 Mn 0.250 0.250 0.250
Re1 Re 0.000 0.000 0.500
# **Energy relative to the lowest polymorph listed for this composition**: 282 meV/atom
# **Uncorrected energy**: -120.67 eV per cell
# **Energy of formation**: 2.620 eV/f.u.

---

DOS at the Fermi energy / states/eV per cell: 6.30, 6.09, 5.28, 13.06